(1)
Density functional theory data (PBE-GGA) for an optimized crystal structure of Tl3ReF8.

Properties
Calculated total energy: -116.181 eV for the cell shown
Raw formation energy: -1964 meV/atom

The structure in POSCAR format:
```
Tl3ReF8
1.0
7.696 0.000 0.000
0.000 7.232 -4.176
0.000 0.000 8.351
Tl Re F
6 2 16
Direct
0.676 0.684 0.842
0.676 0.158 0.316
0.676 0.158 0.842
0.176 0.316 0.158
0.176 0.842 0.684
0.176 0.842 0.158
0.160 0.333 0.667
0.660 0.667 0.333
0.021 0.112 0.556
0.021 0.444 0.888
0.021 0.444 0.556
0.521 0.888 0.444
0.521 0.556 0.112
0.521 0.556 0.444
0.798 0.444 0.222
0.798 0.778 0.556
0.798 0.778 0.222
0.298 0.556 0.778
0.298 0.222 0.444
0.298 0.222 0.778
0.660 0.333 0.667
0.160 0.667 0.333
0.967 0.000 0.000
0.467 0.000 0.000
```



(2)
Density functional theory data (PBE-GGA) for an optimized crystal structure of Tl2ReF.

Properties
Calculated total energy: -17.263 eV for the cell shown
Raw formation energy: 447 meV/atom

The structure in POSCAR format:
```
Tl2ReF
1.0
-2.667 2.767 2.943
-2.806 3.488 -1.842
-4.816 -0.480 0.067
Re Tl F
1 2 1
Direct
0.500 0.500 0.500
0.250 0.250 0.250
0.750 0.750 0.750
0.000 0.000 0.000
```



(3)
Density functional theory data (PBE-GGA) for an optimized crystal structure of Tl2ReF7.

Properties
Calculated total energy: -101.484 eV for the cell shown
Raw formation energy: -2046 meV/atom

The structure in POSCAR format:
```
Tl2ReF7
1.0
5.991 0.000 2.922
2.728 7.116 2.009
-0.322 -1.010 8.264
Tl Re F
4 2 14
Direct
0.587 0.922 0.739
0.752 0.422 0.239
0.248 0.578 0.761
0.413 0.078 0.261
0.949 0.250 0.750
0.051 0.750 0.250
0.783 0.522 0.810
0.886 0.022 0.310
0.230 0.804 0.012
0.273 0.244 0.597
0.652 0.250 0.750
0.954 0.304 0.512
0.114 0.256 0.903
0.886 0.744 0.097
0.046 0.696 0.488
0.348 0.750 0.250
0.727 0.756 0.403
0.770 0.196 0.988
0.114 0.978 0.690
0.217 0.478 0.190
```



Which of these has the lowest calculated total energy?
Tl3ReF8